The following is a DFT calculation (GGA-PBE) of CeHo8Er6 after structural relaxation.

Properties
Formation energy from the elements (eV/atom): 0.19
Symmetry: No. 148
Total magnetization (μB/f.u.): 1.4
Theoretical density (g/cm³): 8.51
D(E_F) (states/eV per atom): 1.89

Lattice parameters (Å, degrees): 11.3001 11.3001 7.8387 43.88 43.88 60.00
With the nearest neighbours (Å) after each atom.
Positions (direct):
Er 0.0925 0.6254 0.1230  6 Ho 3.27-3.55, 1 Ce 3.33, 3 Er 3.36-3.46
Ho 0.6123 0.1131 0.6142  5 Er 3.27-3.55, 4 Ho 3.41-3.65
Ce 0.0000 0.0000 0.0000  6 Er 3.33
Er 0.9075 0.3746 0.8770  6 Ho 3.27-3.55, 1 Ce 3.33, 3 Er 3.36-3.46
Ho 0.6604 0.6123 0.6142  5 Er 3.27-3.55, 4 Ho 3.41-3.65
Ho 0.3653 0.3653 0.9041  3 Er 3.42, 7 Ho 3.51-3.76
Ho 0.6347 0.6347 0.0959  3 Er 3.42, 7 Ho 3.51-3.76
Ho 0.8869 0.3396 0.3858  5 Er 3.27-3.55, 4 Ho 3.41-3.65
Ho 0.1131 0.6604 0.6142  5 Er 3.27-3.55, 4 Ho 3.41-3.65
Er 0.3746 0.8409 0.8770  6 Ho 3.27-3.55, 1 Ce 3.33, 3 Er 3.36-3.46
Ho 0.3877 0.8869 0.3858  5 Er 3.27-3.55, 4 Ho 3.41-3.65
Er 0.8409 0.9075 0.8770  6 Ho 3.27-3.55, 1 Ce 3.33, 3 Er 3.36-3.46
Ho 0.3396 0.3877 0.3858  5 Er 3.27-3.55, 4 Ho 3.41-3.65
Er 0.1591 0.0925 0.1230  6 Ho 3.27-3.55, 1 Ce 3.33, 3 Er 3.36-3.46
Er 0.6254 0.1591 0.1230  6 Ho 3.27-3.55, 1 Ce 3.33, 3 Er 3.36-3.46